! LaPuNiN3 | Alexandria via LeMat-Bulk | PBE | optimized geometry; values from VASP
&SYSTEM
  ibrav = 0, nat = 12, ntyp = 4
/
ATOMIC_SPECIES
La 138.91 La.upf
Pu 244.00 Pu.upf
Ni 58.69 Ni.upf
N 14.01 N.upf
CELL_PARAMETERS angstrom
7.212 0.000 0.000
0.000 3.465 0.000
-1.498 0.000 7.108
ATOMIC_POSITIONS angstrom
La 1.003 0.866 1.564
La 4.711 2.598 5.544
Pu 1.187 2.598 5.890
Pu 4.527 0.866 1.218
Ni -0.230 0.866 4.152
Ni 5.944 2.598 2.956
N -0.299 0.866 6.152
N 0.592 2.598 3.616
N 2.925 2.598 1.000
N 2.789 0.866 6.107
N 5.122 0.866 3.492
N 6.013 2.598 0.955
! raw formation energy: -0.849 eV/atom
! VASP energy: -110.23 eV per cell